#a
Density functional theory data (PBE) for a geometry-optimized TaSbTe2N structure.

SG: P4/mmm
Size of the total moment: 0.00 μB per formula unit

a = 5.600 Å, b = 5.600 Å, c = 3.918 Å
α = 90.00°, β = 90.00°, γ = 90.00°
Positions (direct):
Sb 0.500 0.500 0.500
N 0.000 0.000 0.500
Ta 0.000 0.000 0.000
Te 0.500 0.000 0.000
Te 0.000 0.500 0.000

#b
Density functional theory data (PBE) for a geometry-optimized TaSbTe2N structure.

SG: P4/mmm
Size of the total moment: 1.26 μB per formula unit

a = 4.698 Å, b = 4.698 Å, c = 4.637 Å
α = 90.00°, β = 90.00°, γ = 90.00°
Positions (direct):
Te 0.500 0.000 0.000
Sb 0.000 0.000 0.500
Te 0.000 0.500 0.000
N 0.000 0.000 0.000
Ta 0.500 0.500 0.500

Q: Which of them is the most stable? A: #a.